Record 1
A plane-wave DFT calculation with PBE was carried out for a relaxed structure of Ti3AlPd6.

The structure in CIF format:
```
data_Ti3AlPd6
_chemical_formula_sum 'Ti6 Al2 Pd12'
_space_group_name_H-M_alt 'P 1'
_space_group_IT_number 1
_cell_length_a 4.589
_cell_length_b 7.420
_cell_length_c 9.852
_cell_angle_alpha 113.53
_cell_angle_beta 89.92
_cell_angle_gamma 90.05
loop_
_space_group_symop_operation_xyz
'x,y,z'
loop_
_atom_site_label
_atom_site_fract_x
_atom_site_fract_y
_atom_site_fract_z
Pd1 0.249 0.860 0.289
Pd2 0.751 0.747 0.513
Pd3 0.750 0.839 0.832
Pd4 0.750 0.528 0.925
Pd5 0.250 0.660 0.667
Pd6 0.250 0.161 0.168
Pd7 0.751 0.140 0.711
Pd8 0.250 0.069 0.864
Pd9 0.250 0.472 0.075
Pd10 0.750 0.931 0.136
Pd11 0.249 0.253 0.487
Pd12 0.750 0.340 0.333
Ti1 0.750 0.223 0.022
Ti2 0.250 0.526 0.372
Ti3 0.251 0.364 0.786
Ti4 0.750 0.474 0.628
Ti5 0.749 0.636 0.214
Ti6 0.250 0.777 0.978
Al1 0.749 0.051 0.422
Al2 0.251 0.949 0.578
```

The space-group type is No. 2. As for the formation energy from the elements: -642 meV per atom. Its energy relative to the lowest polymorph listed for this composition is 0.00 eV per formula unit.

=====

Record 2
A plane-wave DFT calculation with PBE was carried out for a relaxed structure of GaIr2Pd2.

The structure in CIF format:
```
data_GaIr2Pd2
_chemical_formula_sum 'Ga1 Ir2 Pd2'
_space_group_name_H-M_alt 'P 1'
_space_group_IT_number 1
_cell_length_a 3.626
_cell_length_b 3.626
_cell_length_c 6.869
_cell_angle_alpha 74.70
_cell_angle_beta 74.70
_cell_angle_gamma 90.00
loop_
_space_group_symop_operation_xyz
'x,y,z'
loop_
_atom_site_label
_atom_site_fract_x
_atom_site_fract_y
_atom_site_fract_z
Ga1 0.000 0.000 0.000
Pd1 0.250 0.750 0.500
Pd2 0.750 0.250 0.500
Ir1 0.405 0.405 0.189
Ir2 0.595 0.595 0.811
```

The space-group type is No. 139. As for the formation energy from the elements: 362 meV per atom. Its energy relative to the lowest polymorph listed for this composition is 1.34 eV per formula unit.

=====

Record 3
A plane-wave DFT calculation with PBE was carried out for a relaxed structure of TbNp2TaN4.

The structure in CIF format:
```
data_TbNp2TaN4
_chemical_formula_sum 'Tb1 Np2 Ta1 N4'
_space_group_name_H-M_alt 'P 1'
_space_group_IT_number 1
_cell_length_a 3.336
_cell_length_b 5.831
_cell_length_c 5.833
_cell_angle_alpha 109.07
_cell_angle_beta 90.00
_cell_angle_gamma 90.00
loop_
_space_group_symop_operation_xyz
'x,y,z'
loop_
_atom_site_label
_atom_site_fract_x
_atom_site_fract_y
_atom_site_fract_z
Tb1 0.500 0.500 0.000
N1 0.500 0.777 0.770
N2 0.000 0.228 0.757
N3 0.000 0.772 0.243
N4 0.500 0.223 0.230
Np1 0.500 0.000 0.500
Np2 0.000 0.500 0.500
Ta1 0.000 0.000 0.000
```

The value obtained for the formation energy from raw total energies is -1239 meV/atom. The space-group type is No. 10.

=====

Record 4
A plane-wave DFT calculation with PBE was carried out for a relaxed structure of Fe2PAu.

The structure in CIF format:
```
data_Fe2PAu
_chemical_formula_sum 'Fe2 P1 Au1'
_space_group_name_H-M_alt 'P 1'
_space_group_IT_number 1
_cell_length_a 8.464
_cell_length_b 8.464
_cell_length_c 8.464
_cell_angle_alpha 19.28
_cell_angle_beta 19.28
_cell_angle_gamma 19.28
loop_
_space_group_symop_operation_xyz
'x,y,z'
loop_
_atom_site_label
_atom_site_fract_x
_atom_site_fract_y
_atom_site_fract_z
Fe1 0.247 0.247 0.247
Fe2 0.990 0.990 0.990
Au1 0.746 0.746 0.746
P1 0.518 0.518 0.518
```

The space-group type is No. 160. As for the formation energy from the elements: 142 meV per atom.